No. 1
Material: PmHgF5
Method: DFT, GGA-PBE
State: relaxed

Cell: 8.7063 7.7298 7.7932 Å, 90.00 103.44 90.00°
Space group C2/c (No. 15)
Inequivalent atoms, fractional coordinates:
Pm (0.0000, 0.0461, 0.2500) [4 per cell]
Hg (0.0000, 0.5000, 0.0000) [4 per cell]
F (0.0000, 0.3446, 0.2500) [4 per cell]
F (0.0238, 0.1634, 0.9661) [8 per cell]
F (0.2341, 0.4352, 0.6666) [8 per cell]

## Properties
E in eV per atom: -4.955
Formation energy (no corrections) in eV/atom: -2.90
N(E_F) in states/eV per atom: 0.0000

***

No. 2
Material: ThBe2ZnPd5
Method: DFT, GGA-PBE
State: relaxed

Cell: 4.4711 4.4711 7.0272 Å, 90.00 90.00 90.00°
Space group P4/mmm (No. 123)
Inequivalent atoms, fractional coordinates:
Th (0.0000, 0.0000, 0.0000) [1 per cell]
Be (0.5000, 0.5000, 0.3399) [2 per cell]
Zn (0.0000, 0.0000, 0.5000) [1 per cell]
Pd (0.0000, 0.5000, 0.2900) [4 per cell]
Pd (0.5000, 0.5000, 0.0000) [1 per cell]

## Properties
E in eV per atom: -5.212
N(E_F) in states/eV per atom: 0.3503

***

No. 3
Material: NdZn2
Method: DFT, GGA-PBE
State: relaxed

Cell: 4.2273 4.2273 15.3235 Å, 90.00 90.00 90.00°
Space group I4_1/amd (No. 141, origin choice 2)
Inequivalent atoms, fractional coordinates:
Nd (0.0000, 0.2500, 0.3750) [4 per cell]
Zn (0.0000, 0.2500, 0.7926) [8 per cell]

## Properties
E in eV per atom: -2.741
N(E_F) in states/eV per atom: 1.2422

***

No. 4
Material: KTe3Pd3
Method: DFT, GGA-PBE
State: relaxed

Cell: 7.4586 7.4586 7.4586 Å, 90.00 90.00 90.00°
Space group Pm-3n (No. 223)
Inequivalent atoms, fractional coordinates:
K (0.0000, 0.0000, 0.0000) [2 per cell]
Te (0.0000, 0.2500, 0.5000) [6 per cell]
Pd (0.0000, 0.5000, 0.2500) [6 per cell]

## Properties
E in eV per atom: -4.146
Formation energy (no corrections) in eV/atom: -0.42
N(E_F) in states/eV per atom: 0.5988

***

No. 5
Material: Al2AgHgIr
Method: DFT, GGA-PBE
State: relaxed

Cell: 4.6911 4.6911 5.3319 Å, 90.00 90.00 90.00°
Space group P4/mmm (No. 123)
Inequivalent atoms, fractional coordinates:
Al (0.0000, 0.5000, 0.0000) [2 per cell]
Ag (0.0000, 0.0000, 0.5000) [1 per cell]
Hg (0.5000, 0.5000, 0.5000) [1 per cell]
Ir (0.0000, 0.0000, 0.0000) [1 per cell]

## Properties
E in eV per atom: -3.793
N(E_F) in states/eV per atom: 0.3305

***

No. 6
Material: DyHoPdAu
Method: DFT, GGA-PBE
State: relaxed

Cell: 7.0942 7.0942 7.0942 Å, 90.00 90.00 90.00°
Space group F-43m (No. 216)
Inequivalent atoms, fractional coordinates:
Dy (0.0000, 0.0000, 0.0000) [4 per cell]
Ho (0.0000, 0.0000, 0.5000) [4 per cell]
Pd (0.2500, 0.2500, 0.2500) [4 per cell]
Au (0.2500, 0.2500, 0.7500) [4 per cell]

## Properties
E in eV per atom: -5.283
N(E_F) in states/eV per atom: 0.7701

***

> Look up the E of the sixth one.

-5.283 eV per atom